VASP calculation (PBE) on crystalline LiPm2PrTe5 at its relaxed geometry.

Computed properties:
The uncorrected formation energy comes out at -1.299 eV/atom.

a b c (Å): 4.437 18.881 13.353
angles (deg): 90.00 90.00 90.00
Space group Cmc2_1 (No. 36)
Asymmetric unit:
1 Li 0.000 0.052 0.000
2 Pm 0.000 0.375 0.835
3 Pm 0.000 0.394 0.219
4 Pr 0.000 0.301 0.541
5 Te 0.000 0.002 0.316
6 Te 0.000 0.133 0.532
7 Te 0.000 0.184 0.873
8 Te 0.000 0.216 0.208
9 Te 0.000 0.454 0.610

VASP calculation (PBE) on crystalline Li3Pm2PrTe6 at its relaxed geometry.

Computed properties:
The uncorrected formation energy comes out at -1.298 eV/atom.

a b c (Å): 7.715 13.364 7.545
angles (deg): 90.00 109.93 90.00
Space group C2/m (No. 12)
Asymmetric unit:
1 Li 0.000 0.000 0.000
2 Li 0.000 0.334 0.000
3 Pm 0.000 0.167 0.500
4 Pr 0.000 0.500 0.500
5 Te 0.245 0.168 0.238
6 Te 0.249 0.500 0.238

VASP calculation (PBE) on crystalline LiPm3Pr2Te6 at its relaxed geometry.

Computed properties:
The uncorrected formation energy comes out at -1.398 eV/atom.

a b c (Å): 19.485 4.465 8.938
angles (deg): 90.00 103.29 90.00
Space group C2/m (No. 12)
Asymmetric unit:
1 Li 0.000 0.000 0.000
2 Pm 0.000 0.000 0.500
3 Pm 0.170 0.500 0.832
4 Pr 0.169 0.500 0.339
5 Te 0.001 0.500 0.760
6 Te 0.161 0.000 0.077
7 Te 0.164 0.000 0.587

VASP calculation (PBE) on crystalline LiPm4Pr3Te8 at its relaxed geometry.

Computed properties:
The uncorrected formation energy comes out at -1.399 eV/atom.

a b c (Å): 8.9565 8.9565 21.9328
angles (deg): 90.00 90.00 120.00
Space group R-3m (No. 166, hexagonal axes)
Asymmetric unit:
1 Li 0.0000 0.0000 0.0000
2 Pm 0.0000 0.0000 0.5000
3 Pm 0.0000 0.5000 0.5000
4 Pr 0.0000 0.5000 0.0000
5 Te 0.0000 0.0000 0.2484
6 Te 0.0105 0.5052 0.7490

VASP calculation (PBE) on crystalline LiPmPrTl at its relaxed geometry.

Computed properties:
The value obtained for the formation energy is -0.20 eV/atom.

a b c (Å): 7.713 7.713 7.713
angles (deg): 90.00 90.00 90.00
Space group F-43m (No. 216)
Asymmetric unit:
1 Li 0.000 0.000 0.000
2 Pm 0.250 0.250 0.750
3 Pr 0.250 0.250 0.250
4 Tl 0.000 0.000 0.500

VASP calculation (PBE) on crystalline LiPm2PrTl4 at its relaxed geometry.

Computed properties:
The value obtained for the formation energy is -0.35 eV/atom.

a b c (Å): 5.3465 5.3465 27.2949
angles (deg): 90.00 90.00 120.00
Space group R-3m (No. 166, hexagonal axes)
Asymmetric unit:
1 Li 0.0000 0.0000 0.0000
2 Pm 0.0000 0.0000 0.2563
3 Pr 0.0000 0.0000 0.5000
4 Tl 0.0000 0.0000 0.1226
5 Tl 0.0000 0.0000 0.3730

Calculated E, -4.84; -4.54; -5.11; -5.17; -3.66; -3.56 eV/atom (same order as the records).